Entry 1:
Compound: Y2Ge2Ru
Source: Alexandria via LeMat-Bulk
Functional: PBEsol
Structure: relaxed

Properties
symmetry: P4/mbm (127)
DOS at the Fermi energy: 5.3 states/eV per cell
energy: -75.39 eV per cell
calculated density: 7.31 Mg/m³
spin magnetization: 0.0000 μB/atom
ΔE_f: -799.8 meV/atom

abc: 6.7276 6.7276 4.2590
angles: 90.00 90.00 90.00
With the nearest neighbours (Å) after each atom.
Positions (direct):
Y1 0.1751 0.3249 0.0000  6 Ge 2.80-2.99
Y2 0.3249 0.8249 0.0000  6 Ge 2.80-2.99
Y3 0.6751 0.1751 0.0000  6 Ge 2.80-2.99
Y4 0.8249 0.6751 0.0000  6 Ge 2.80-2.99
Ge1 0.1338 0.6338 0.5000  1 Ge 2.55, 2 Ru 2.62, 2 Y 2.80
Ge2 0.3662 0.1338 0.5000  1 Ge 2.55, 2 Ru 2.62, 2 Y 2.80
Ge3 0.6338 0.8662 0.5000  1 Ge 2.55, 2 Ru 2.62, 2 Y 2.80
Ge4 0.8662 0.3662 0.5000  1 Ge 2.55, 2 Ru 2.62, 2 Y 2.80
Ru1 0.0000 0.0000 0.5000  4 Ge 2.62
Ru2 0.5000 0.5000 0.5000  4 Ge 2.62



Entry 2:
Compound: Y2Ge5Ru3
Source: Alexandria via LeMat-Bulk
Functional: PBEsol
Structure: relaxed

Properties
symmetry: Ibam (72)
DOS at the Fermi energy: 4.0 states/eV per cell
energy: -151.34 eV per cell
calculated density: 8.17 Mg/m³
spin magnetization: 0.0000 μB/atom
ΔE_f: -681.3 meV/atom

abc: 8.3699 8.3699 8.3699
angles: 108.76 84.85 140.20
With the nearest neighbours (Å) after each atom.
Positions (direct):
Y1 0.1399 0.2311 0.3711  9 Ge 2.95-3.27, 4 Ru 3.14-3.16
Y2 0.3601 0.7311 0.0912  9 Ge 2.95-3.27, 4 Ru 3.14-3.16
Y3 0.6399 0.2689 0.9088  9 Ge 2.95-3.27, 4 Ru 3.14-3.16
Y4 0.8601 0.7689 0.6289  9 Ge 2.95-3.27, 4 Ru 3.14-3.16
Ge1 0.0435 0.7500 0.2935  3 Ru 2.46-2.55, 2 Ge 2.67
Ge2 0.0876 0.6764 0.7639  3 Ru 2.39-2.48, 2 Ge 2.67
Ge3 0.2500 0.2500 0.0000  4 Ru 2.48
Ge4 0.4124 0.1764 0.5888  3 Ru 2.39-2.48, 2 Ge 2.67
Ge5 0.4565 0.7500 0.7065  3 Ru 2.46-2.55, 2 Ge 2.67
Ge6 0.5435 0.2500 0.2935  3 Ru 2.46-2.55, 2 Ge 2.67
Ge7 0.5876 0.8236 0.4112  3 Ru 2.39-2.48, 2 Ge 2.67
Ge8 0.7500 0.7500 0.0000  4 Ru 2.48
Ge9 0.9124 0.3236 0.2361  3 Ru 2.39-2.48, 2 Ge 2.67
Ge10 0.9565 0.2500 0.7065  3 Ru 2.46-2.55, 2 Ge 2.67
Ru1 0.1477 0.9093 0.0570  5 Ge 2.39-2.48
Ru2 0.2500 0.7500 0.5000  6 Ge 2.48-2.55
Ru3 0.3523 0.4093 0.7616  5 Ge 2.39-2.48
Ru4 0.6477 0.5907 0.2384  5 Ge 2.39-2.48
Ru5 0.7500 0.2500 0.5000  6 Ge 2.48-2.55
Ru6 0.8523 0.0907 0.9430  5 Ge 2.39-2.48



Entry 3:
Compound: Y2Ge2Ru
Source: Alexandria via LeMat-Bulk
Functional: PBEsol
Structure: relaxed

Properties
symmetry: C2/m (12)
DOS at the Fermi energy: 5.7 states/eV per cell
energy: -75.89 eV per cell
calculated density: 7.04 Mg/m³
spin magnetization: 0.0001 μB/atom
ΔE_f: -850.1 meV/atom

abc: 5.7340 5.7340 10.0850
angles: 116.29 116.29 43.37
With the nearest neighbours (Å) after each atom.
Positions (direct):
Y1 0.0020 0.0020 0.1739  6 Ge 2.90-3.10, 4 Ru 3.05-3.13
Y2 0.1843 0.1843 0.6108  6 Ge 2.88-3.18
Y3 0.8157 0.8157 0.3892  6 Ge 2.88-3.18
Y4 0.9980 0.9980 0.8261  6 Ge 2.90-3.10, 4 Ru 3.05-3.13
Ge1 0.3546 0.3546 0.9344  3 Ru 2.43-2.49
Ge2 0.4890 0.4890 0.6248  1 Ru 2.58, 1 Ge 2.64
Ge3 0.5110 0.5110 0.3752  1 Ru 2.58, 1 Ge 2.64
Ge4 0.6454 0.6454 0.0656  3 Ru 2.43-2.49
Ru1 0.2721 0.2721 0.1278  4 Ge 2.43-2.58
Ru2 0.7279 0.7279 0.8722  4 Ge 2.43-2.58



Entry 4:
Compound: Y2Ge2Ru
Source: Alexandria via LeMat-Bulk
Functional: PBEsol
Structure: relaxed

Properties
symmetry: I4/mmm (139)
DOS at the Fermi energy: 5.6 states/eV per cell
energy: -31.44 eV per cell
calculated density: 6.73 Mg/m³
spin magnetization: 0.1069 μB/atom
ΔE_f: 450.7 meV/atom

abc: 6.7633 6.7633 6.7633
angles: 144.32 144.32 51.35
With the nearest neighbours (Å) after each atom.
Positions (direct):
Y1 0.2500 0.7500 0.5000  4 Ge 2.83, 4 Y 2.93
Y2 0.7500 0.2500 0.5000  4 Ge 2.83, 4 Y 2.93
Ge1 0.0913 0.0913 0.0000  1 Ge 2.23
Ge2 0.9087 0.9087 0.0000  1 Ge 2.23
Ru1 0.5000 0.5000 0.0000  8 Ge 3.13



Entry 5:
Compound: Y3Ge13Ru4
Source: Alexandria via LeMat-Bulk
Functional: PBEsol
Structure: relaxed

Properties
symmetry: Pm-3n (223)
DOS at the Fermi energy: 16.4 states/eV per cell
energy: -270.59 eV per cell
calculated density: 7.56 Mg/m³
spin magnetization: 0.0000 μB/atom
ΔE_f: -496.6 meV/atom

abc: 8.9192 8.9192 8.9192
angles: 90.00 90.00 90.00
With the nearest neighbours (Å) after each atom.
Positions (direct):
Y1 0.0000 0.2500 0.5000  12 Ge 3.14-3.18, 4 Ru 3.15
Y2 0.0000 0.7500 0.5000  12 Ge 3.14-3.18, 4 Ru 3.15
Y3 0.2500 0.5000 0.0000  12 Ge 3.14-3.18, 4 Ru 3.15
Y4 0.5000 0.0000 0.2500  12 Ge 3.14-3.18, 4 Ru 3.15
Y5 0.5000 0.0000 0.7500  12 Ge 3.14-3.18, 4 Ru 3.15
Y6 0.7500 0.5000 0.0000  12 Ge 3.14-3.18, 4 Ru 3.15
Ge1 0.0000 0.0000 0.0000  12 Ge 2.99
Ge2 0.0000 0.3009 0.1473  2 Ru 2.45, 1 Ge 2.63
Ge3 0.0000 0.3009 0.8527  2 Ru 2.45, 1 Ge 2.63
Ge4 0.0000 0.6991 0.1473  2 Ru 2.45, 1 Ge 2.63
Ge5 0.0000 0.6991 0.8527  2 Ru 2.45, 1 Ge 2.63
Ge6 0.1473 0.0000 0.3009  2 Ru 2.45, 1 Ge 2.63
Ge7 0.1473 0.0000 0.6991  2 Ru 2.45, 1 Ge 2.63
Ge8 0.1991 0.5000 0.3527  2 Ru 2.45, 1 Ge 2.63
Ge9 0.1991 0.5000 0.6473  2 Ru 2.45, 1 Ge 2.63
Ge10 0.3009 0.1473 0.0000  2 Ru 2.45, 1 Ge 2.63
Ge11 0.3009 0.8527 0.0000  2 Ru 2.45, 1 Ge 2.63
Ge12 0.3527 0.1991 0.5000  2 Ru 2.45, 1 Ge 2.63
Ge13 0.3527 0.8009 0.5000  2 Ru 2.45, 1 Ge 2.63
Ge14 0.5000 0.3527 0.1991  2 Ru 2.45, 1 Ge 2.63
Ge15 0.5000 0.3527 0.8009  2 Ru 2.45, 1 Ge 2.63
Ge16 0.5000 0.5000 0.5000  12 Ge 2.99
Ge17 0.5000 0.6473 0.1991  2 Ru 2.45, 1 Ge 2.63
Ge18 0.5000 0.6473 0.8009  2 Ru 2.45, 1 Ge 2.63
Ge19 0.6473 0.1991 0.5000  2 Ru 2.45, 1 Ge 2.63
Ge20 0.6473 0.8009 0.5000  2 Ru 2.45, 1 Ge 2.63
Ge21 0.6991 0.1473 0.0000  2 Ru 2.45, 1 Ge 2.63
Ge22 0.6991 0.8527 0.0000  2 Ru 2.45, 1 Ge 2.63
Ge23 0.8009 0.5000 0.3527  2 Ru 2.45, 1 Ge 2.63
Ge24 0.8009 0.5000 0.6473  2 Ru 2.45, 1 Ge 2.63
Ge25 0.8527 0.0000 0.3009  2 Ru 2.45, 1 Ge 2.63
Ge26 0.8527 0.0000 0.6991  2 Ru 2.45, 1 Ge 2.63
Ru1 0.2500 0.2500 0.2500  6 Ge 2.45
Ru2 0.2500 0.2500 0.7500  6 Ge 2.45
Ru3 0.2500 0.7500 0.2500  6 Ge 2.45
Ru4 0.2500 0.7500 0.7500  6 Ge 2.45
Ru5 0.7500 0.2500 0.2500  6 Ge 2.45
Ru6 0.7500 0.2500 0.7500  6 Ge 2.45
Ru7 0.7500 0.7500 0.2500  6 Ge 2.45
Ru8 0.7500 0.7500 0.7500  6 Ge 2.45



Entry 6:
Compound: Zr2Ge2Ru
Source: Alexandria via LeMat-Bulk
Functional: PBEsol
Structure: relaxed

Properties
symmetry: P4/mbm (127)
DOS at the Fermi energy: 3.4 states/eV per cell
energy: -84.51 eV per cell
calculated density: 8.35 Mg/m³
spin magnetization: 0.0000 μB/atom
ΔE_f: -804.8 meV/atom

abc: 6.4379 6.4379 4.1165
angles: 90.00 90.00 90.00
With the nearest neighbours (Å) after each atom.
Positions (direct):
Zr1 0.1723 0.3277 0.0000  6 Ge 2.69-2.88
Zr2 0.3277 0.8277 0.0000  6 Ge 2.69-2.88
Zr3 0.6723 0.1723 0.0000  6 Ge 2.69-2.88
Zr4 0.8277 0.6723 0.0000  6 Ge 2.69-2.88
Ge1 0.1379 0.6379 0.5000  2 Ru 2.49, 1 Ge 2.51, 2 Zr 2.69
Ge2 0.3621 0.1379 0.5000  2 Ru 2.49, 1 Ge 2.51, 2 Zr 2.69
Ge3 0.6379 0.8621 0.5000  2 Ru 2.49, 1 Ge 2.51, 2 Zr 2.69
Ge4 0.8621 0.3621 0.5000  2 Ru 2.49, 1 Ge 2.51, 2 Zr 2.69
Ru1 0.0000 0.0000 0.5000  4 Ge 2.49
Ru2 0.5000 0.5000 0.5000  4 Ge 2.49



Entry 7:
Compound: ZrGeRu
Source: Alexandria via LeMat-Bulk
Functional: PBEsol
Structure: relaxed

Properties
symmetry: Ima2 (46)
DOS at the Fermi energy: 7.8 states/eV per cell
energy: -160.16 eV per cell
calculated density: 9.09 Mg/m³
spin magnetization: 0.0000 μB/atom
ΔE_f: -830.6 meV/atom

abc: 7.6635 7.6635 7.6635
angles: 121.81 81.85 127.93
With the nearest neighbours (Å) after each atom.
Positions (direct):
Zr1 0.0019 0.2500 0.2519  5 Ge 2.73-2.78, 4 Ru 2.94-2.95
Zr2 0.4213 0.8676 0.0537  5 Ge 2.75-2.94, 6 Ru 2.85-2.95
Zr3 0.4242 0.3957 0.5284  5 Ge 2.73-2.76, 2 Ru 2.93
Zr4 0.8140 0.3676 0.9463  5 Ge 2.75-2.94, 6 Ru 2.85-2.95
Zr5 0.8673 0.8957 0.4716  5 Ge 2.73-2.76, 2 Ru 2.93
Zr6 0.9981 0.7500 0.7481  5 Ge 2.73-2.78, 4 Ru 2.94-2.95
Ge1 0.0872 0.4256 0.6731  3 Ru 2.58-2.60, 6 Zr 2.73-2.76
Ge2 0.0872 0.9141 0.1616  3 Ru 2.58-2.60, 6 Zr 2.73-2.76
Ge3 0.3835 0.1611 0.7224  6 Ru 2.49-2.53, 2 Zr 2.75-2.78
Ge4 0.4387 0.6611 0.2776  6 Ru 2.49-2.53, 2 Zr 2.75-2.78
Ge5 0.7525 0.4141 0.3269  3 Ru 2.58-2.60, 6 Zr 2.73-2.76
Ge6 0.7525 0.9256 0.8384  3 Ru 2.58-2.60, 6 Zr 2.73-2.76
Ru1 0.1720 0.3249 0.9071  4 Ge 2.49-2.58
Ru2 0.1720 0.7649 0.3471  4 Ge 2.49-2.58
Ru3 0.4178 0.2649 0.0929  4 Ge 2.49-2.58
Ru4 0.4178 0.8249 0.6529  4 Ge 2.49-2.58
Ru5 0.6620 0.1620 0.5000  4 Ge 2.53-2.60
Ru6 0.6620 0.6620 0.0000  4 Ge 2.53-2.60



Entry 8:
Compound: GeS
Source: Alexandria via LeMat-Bulk
Functional: PBEsol
Structure: relaxed

Properties
symmetry: Pnma (62)
formation energy (no corrections): -28.7 kJ per mole of atoms
energy: -39.67 eV per cell
calculated density: 4.46 Mg/m³
spin magnetization: 0.0000 μB/atom

abc: 10.2884 3.6625 4.1393
angles: 90.00 90.00 90.00
With the nearest neighbours (Å) after each atom.
Positions (direct):
Ge1 0.1194 0.2500 0.1196  3 S 2.44-2.45
Ge2 0.3806 0.7500 0.6196  3 S 2.44-2.45
Ge3 0.6194 0.2500 0.3804  3 S 2.44-2.45
Ge4 0.8806 0.7500 0.8804  3 S 2.44-2.45
S1 0.1474 0.7500 0.5059  3 Ge 2.44-2.45
S2 0.3526 0.2500 0.0059  3 Ge 2.44-2.45
S3 0.6474 0.7500 0.9941  3 Ge 2.44-2.45
S4 0.8526 0.2500 0.4941  3 Ge 2.44-2.45